Entry 1:
Material: CaRePb2
Method: DFT, GGA-PBE
State: relaxed

Values from the calculation:
spin magnetization = 1.7 μB per cell
relative energy among the computed polymorphs = 262 meV/atom
ΔH_f (0 K) = 0.64 eV/atom
symmetry = P4/mmm

Unit cell a=4.387 b=4.675 c=4.675 alpha=90.00 beta=90.00 gamma=90.00
Site moments in Bohr magnetons follow the coordinates.
Positions (direct):
Pb 0.000 0.000 0.000  -0.02
Pb 0.000 0.500 0.500  -0.02
Re 0.500 0.500 0.000  1.51
Ca 0.500 0.000 0.500  -0.02


Entry 2:
Material: KRb3Se2
Method: DFT, GGA-PBE
State: relaxed

Values from the calculation:
raw total energy = -2.85 eV/atom
spin magnetization = 0.0 μB per cell
symmetry = Ibam

Unit cell a=7.680 b=7.341 c=10.144 alpha=111.21 beta=112.24 gamma=90.00
Positions (direct):
K 0.000 0.250 0.000
K 0.000 0.750 0.000
Rb 0.398 0.687 0.374
Rb 0.602 0.313 0.626
Rb 0.025 0.813 0.626
Rb 0.975 0.187 0.374
Rb 0.500 0.750 0.000
Rb 0.500 0.250 0.000
Se 0.354 0.119 0.238
Se 0.646 0.881 0.762
Se 0.116 0.381 0.762
Se 0.884 0.619 0.238


Entry 3:
Material: Na3HS2O8
Method: DFT, GGA-PBE
State: relaxed

Values from the calculation:
raw total energy = -5.62 eV/atom
spin magnetization = 0.4 μB per cell
symmetry = P2_1/c

Unit cell a=8.762 b=9.270 c=9.767 alpha=90.00 beta=90.00 gamma=108.58
Positions (direct):
Na 0.000 0.500 0.500
Na 0.000 0.000 0.000
Na 0.500 0.500 0.000
Na 0.500 0.000 0.500
Na 0.886 0.631 0.844
Na 0.114 0.869 0.344
Na 0.114 0.369 0.156
Na 0.886 0.131 0.656
Na 0.761 0.728 0.503
Na 0.239 0.772 0.003
Na 0.239 0.272 0.497
Na 0.761 0.228 0.997
H 0.398 0.387 0.734
H 0.602 0.113 0.234
H 0.602 0.613 0.266
H 0.398 0.887 0.766
S 0.136 0.407 0.820
S 0.864 0.093 0.320
S 0.864 0.593 0.180
S 0.136 0.907 0.680
S 0.641 0.362 0.691
S 0.359 0.138 0.191
S 0.359 0.638 0.309
S 0.641 0.862 0.809
O 0.039 0.281 0.909
O 0.961 0.219 0.409
O 0.961 0.719 0.091
O 0.039 0.781 0.591
O 0.312 0.422 0.835
O 0.688 0.078 0.335
O 0.688 0.578 0.165
O 0.312 0.922 0.665
O 0.114 0.552 0.863
O 0.886 0.948 0.363
O 0.886 0.448 0.137
O 0.114 0.052 0.637
O 0.089 0.373 0.674
O 0.911 0.127 0.174
O 0.911 0.627 0.326
O 0.089 0.873 0.826
O 0.467 0.859 0.849
O 0.533 0.641 0.349
O 0.533 0.141 0.151
O 0.467 0.359 0.651
O 0.755 0.996 0.875
O 0.245 0.504 0.375
O 0.245 0.004 0.125
O 0.755 0.496 0.625
O 0.655 0.876 0.658
O 0.345 0.624 0.158
O 0.345 0.124 0.342
O 0.655 0.376 0.842
O 0.659 0.719 0.860
O 0.341 0.781 0.360
O 0.341 0.281 0.140
O 0.659 0.219 0.640


Entry 4:
Material: AcUTe2S
Method: DFT, GGA-PBE
State: relaxed

Values from the calculation:
raw total energy = -6.33 eV/atom
spin magnetization = 5.9 μB per cell
symmetry = P4/nmm

Unit cell a=4.575 b=4.575 c=15.740 alpha=90.00 beta=90.00 gamma=90.00
Site moments in Bohr magnetons follow the coordinates.
Positions (direct):
Ac 0.500 0.000 0.610  -0.01
Ac 0.000 0.500 0.390  -0.01
U 0.500 0.000 0.098  2.75
U 0.000 0.500 0.902  2.75
Te 0.000 0.500 0.713  -0.06
Te 0.000 0.500 0.102  -0.08
Te 0.500 0.000 0.898  -0.08
Te 0.500 0.000 0.287  -0.06
S 0.000 0.000 0.500  -0.02
S 0.500 0.500 0.500  -0.02


Entry 5:
Material: TbCdPtO6
Method: DFT, GGA-PBE
State: relaxed

Values from the calculation:
raw total energy = -5.77 eV/atom
spin magnetization = 0.0 μB per cell
symmetry = P-31c

Unit cell a=5.649 b=5.649 c=8.817 alpha=90.00 beta=90.00 gamma=120.00
Positions (direct):
Tb 0.333 0.667 0.250
Tb 0.667 0.333 0.750
Cd 0.000 0.000 0.000
Cd 0.000 0.000 0.500
Pt 0.667 0.333 0.250
Pt 0.333 0.667 0.750
O 0.659 0.619 0.126
O 0.960 0.341 0.126
O 0.341 0.960 0.626
O 0.040 0.659 0.874
O 0.381 0.341 0.374
O 0.960 0.619 0.374
O 0.619 0.960 0.874
O 0.659 0.040 0.374
O 0.040 0.381 0.626
O 0.381 0.040 0.126
O 0.619 0.659 0.626
O 0.341 0.381 0.874


Entry 6:
Material: La6Ir2SCl3
Method: DFT, GGA-PBE
State: relaxed

Values from the calculation:
raw total energy = -6.24 eV/atom
spin magnetization = 0.0 μB per cell
symmetry = C2/m

Unit cell a=7.323 b=7.323 c=7.772 alpha=99.04 beta=99.04 gamma=119.92
Positions (direct):
La 0.928 0.581 0.787
La 0.722 0.722 0.210
La 0.072 0.419 0.213
La 0.581 0.928 0.787
La 0.278 0.278 0.790
La 0.419 0.072 0.213
Ir 0.332 0.668 0.000
Ir 0.668 0.332 0.000
S 0.000 0.000 0.000
Cl 0.159 0.841 0.500
Cl 0.841 0.159 0.500
Cl 0.500 0.500 0.500


Entry 7:
Material: Th2HgPd9
Method: DFT, GGA-PBE
State: relaxed

Values from the calculation:
spin magnetization = 0.0 μB per cell
relative energy among the computed polymorphs = 0 meV/atom
ΔH_f (0 K) = -0.72 eV/atom
symmetry = P4/mmm

Unit cell a=4.194 b=4.194 c=12.356 alpha=90.00 beta=90.00 gamma=90.00
Positions (direct):
Th 0.000 0.000 0.325
Th 0.000 0.000 0.675
Hg 0.000 0.000 0.000
Pd 0.500 0.500 0.000
Pd 0.500 0.500 0.332
Pd 0.500 0.500 0.668
Pd 0.500 0.000 0.164
Pd 0.500 0.000 0.500
Pd 0.500 0.000 0.836
Pd 0.000 0.500 0.164
Pd 0.000 0.500 0.500
Pd 0.000 0.500 0.836


Entry 8:
Material: TiH2Au2
Method: DFT, GGA-PBE
State: relaxed

Values from the calculation:
spin magnetization = 1.4 μB per cell
relative energy among the computed polymorphs = 954 meV/atom
symmetry = P4/mmm

Unit cell a=5.148 b=5.148 c=3.312 alpha=90.00 beta=90.00 gamma=90.00
Site moments in Bohr magnetons follow the coordinates.
Positions (direct):
H 0.500 0.500 0.500  0.28
H 0.000 0.000 0.500  0.00
Au 0.000 0.500 0.000  0.09
Au 0.500 0.000 0.000  0.09
Ti 0.000 0.000 0.000  0.53


Entry 9:
Material: GaSb3C
Method: DFT, GGA-PBE
State: relaxed

Values from the calculation:
raw total energy = -4.01 eV/atom
spin magnetization = 0.0 μB per cell
symmetry = Pm-3m

Unit cell a=4.821 b=4.821 c=4.821 alpha=90.00 beta=90.00 gamma=90.00
Positions (direct):
Sb 0.000 0.500 0.000
Sb 0.000 0.000 0.500
Sb 0.500 0.000 0.000
C 0.000 0.000 0.000
Ga 0.500 0.500 0.500


Entry 10:
Material: TiPS2Br
Method: DFT, GGA-PBE
State: relaxed

Values from the calculation:
spin magnetization = 0.0 μB per cell
relative energy among the computed polymorphs = 0 meV/atom
symmetry = P4/mmm

Unit cell a=4.574 b=4.574 c=5.192 alpha=90.00 beta=90.00 gamma=90.00
Positions (direct):
P 0.000 0.000 0.500
S 0.000 0.500 0.000
S 0.500 0.000 0.000
Br 0.500 0.500 0.500
Ti 0.000 0.000 0.000


Entry 11:
Material: Mo3Ru
Method: DFT, GGA-PBE
State: relaxed

Values from the calculation:
spin magnetization = 0.0 μB per cell
ΔH_f (0 K) = 0.21 eV/atom
symmetry = Pmmn

Unit cell a=4.465 b=5.082 c=5.494 alpha=90.00 beta=90.00 gamma=90.00
Positions (direct):
Mo 0.500 0.614 0.000
Mo 0.000 0.852 0.232
Mo 0.500 0.148 0.268
Mo 0.000 0.386 0.500
Mo 0.000 0.852 0.768
Mo 0.500 0.148 0.732
Ru 0.000 0.333 0.000
Ru 0.500 0.667 0.500


Entry 12:
Material: Mg4Au3
Method: DFT, GGA-PBE
State: relaxed

Values from the calculation:
spin magnetization = 0.0 μB per cell
relative energy among the computed polymorphs = 0 meV/atom
ΔH_f (0 K) = -0.55 eV/atom
symmetry = R-3m

Unit cell a=4.642 b=4.642 c=7.863 alpha=72.83 beta=72.83 gamma=60.00
Positions (direct):
Mg 0.622 0.622 0.135
Mg 0.873 0.873 0.382
Mg 0.127 0.127 0.618
Mg 0.378 0.378 0.865
Au 0.250 0.250 0.250
Au 0.750 0.750 0.750
Au 0.000 0.000 0.000


Entry 13:
Material: MoAu2C2
Method: DFT, GGA-PBE
State: relaxed

Values from the calculation:
spin magnetization = 1.1 μB per cell
relative energy among the computed polymorphs = 594 meV/atom
ΔH_f (0 K) = 2.15 eV/atom
symmetry = P4/mbm

Unit cell a=7.053 b=7.053 c=2.836 alpha=90.00 beta=90.00 gamma=90.00
Site moments in Bohr magnetons follow the coordinates.
Positions (direct):
Mo 0.000 0.000 0.000  0.54
Mo 0.500 0.500 0.000  0.54
Au 0.367 0.867 0.000  0.00
Au 0.867 0.633 0.000  0.00
Au 0.633 0.133 0.000  0.00
Au 0.133 0.367 0.000  0.00
C 0.205 0.705 0.500  -0.02
C 0.705 0.795 0.500  -0.02
C 0.795 0.295 0.500  -0.02
C 0.295 0.205 0.500  -0.02


Entry 14:
Material: La2TbSmY2
Method: DFT, GGA-PBE
State: relaxed

Values from the calculation:
spin magnetization = 0.0 μB per cell
ΔH_f (0 K) = 0.26 eV/atom
symmetry = Pnnm

Unit cell a=3.428 b=6.655 c=18.425 alpha=90.00 beta=90.00 gamma=90.00
Positions (direct):
La 0.500 0.278 0.314
La 0.000 0.778 0.186
La 0.500 0.722 0.686
La 0.000 0.222 0.814
Tb 0.000 0.000 0.000
Tb 0.500 0.500 0.500
Sm 0.500 0.500 0.000
Sm 0.000 0.000 0.500
Y 0.500 0.780 0.355
Y 0.500 0.220 0.645
Y 0.000 0.720 0.855
Y 0.000 0.280 0.145


Entry 15:
Material: KBa2Cl
Method: DFT, GGA-PBE
State: relaxed

Values from the calculation:
spin magnetization = 0.7 μB per cell
relative energy among the computed polymorphs = 387 meV/atom
symmetry = Pmmm

Unit cell a=4.761 b=7.677 c=5.768 alpha=90.00 beta=90.00 gamma=90.00
Site moments in Bohr magnetons follow the coordinates.
Positions (direct):
K 0.000 0.500 0.500  0.03
Ba 0.000 0.000 0.000  0.00
Ba 0.500 0.500 0.000  0.12
Cl 0.500 0.000 0.500  0.01


Entry 16:
Material: PuPaAsO2
Method: DFT, GGA-PBE
State: relaxed

Values from the calculation:
raw total energy = -10.18 eV/atom
spin magnetization = 6.0 μB per cell
symmetry = I4mm

Unit cell a=3.835 b=3.835 c=6.595 alpha=106.90 beta=106.90 gamma=90.00
Site moments in Bohr magnetons follow the coordinates.
Positions (direct):
Pu 0.137 0.137 0.274  5.20
Pa 0.854 0.854 0.708  0.72
As 0.496 0.496 0.992  -0.09
O 0.756 0.256 0.513  -0.05
O 0.256 0.756 0.513  -0.05


Entry 17:
Material: LiAlTe3
Method: DFT, GGA-PBE
State: relaxed

Values from the calculation:
spin magnetization = 0.0 μB per cell
relative energy among the computed polymorphs = 488 meV/atom
symmetry = Pm-3m

Unit cell a=5.406 b=5.406 c=5.406 alpha=90.00 beta=90.00 gamma=90.00
Positions (direct):
Te 0.000 0.500 0.000
Te 0.000 0.000 0.500
Te 0.500 0.000 0.000
Al 0.000 0.000 0.000
Li 0.500 0.500 0.500


Entry 18:
Material: Er2Tl3BiTe6
Method: DFT, GGA-PBE
State: relaxed

Values from the calculation:
raw total energy = -4.04 eV/atom
spin magnetization = 0.0 μB per cell
symmetry = C2/m

Unit cell a=7.764 b=7.764 c=8.526 alpha=98.73 beta=98.73 gamma=120.03
Positions (direct):
Er 0.333 0.667 0.000
Er 0.667 0.333 0.000
Tl 0.165 0.835 0.500
Tl 0.835 0.165 0.500
Tl 0.500 0.500 0.500
Bi 0.000 0.000 0.000
Te 0.929 0.588 0.786
Te 0.730 0.730 0.214
Te 0.071 0.412 0.214
Te 0.588 0.929 0.786
Te 0.270 0.270 0.786
Te 0.412 0.071 0.214


Entry 19:
Material: La6HPt2I3
Method: DFT, GGA-PBE
State: relaxed

Values from the calculation:
raw total energy = -5.12 eV/atom
spin magnetization = 0.0 μB per cell
symmetry = C2/m

Unit cell a=7.346 b=7.346 c=8.454 alpha=98.43 beta=98.43 gamma=119.75
Positions (direct):
La 0.937 0.603 0.806
La 0.731 0.731 0.196
La 0.063 0.397 0.194
La 0.603 0.937 0.806
La 0.269 0.269 0.804
La 0.397 0.063 0.194
H 0.000 0.000 0.000
Pt 0.334 0.666 0.000
Pt 0.666 0.334 0.000
I 0.168 0.832 0.500
I 0.832 0.168 0.500
I 0.500 0.500 0.500


Entry 20:
Material: PmSm3Th
Method: DFT, GGA-PBE
State: relaxed

Values from the calculation:
spin magnetization = 0.0 μB per cell
relative energy among the computed polymorphs = 0 meV/atom
ΔH_f (0 K) = 0.06 eV/atom
symmetry = P-1

Unit cell a=6.339 b=9.653 c=9.365 alpha=137.38 beta=90.06 gamma=109.09
Positions (direct):
Pm 0.634 0.091 0.244
Pm 0.366 0.909 0.756
Sm 0.844 0.505 0.243
Sm 0.775 0.703 0.745
Sm 0.446 0.702 0.257
Sm 0.554 0.298 0.743
Sm 0.156 0.495 0.757
Sm 0.225 0.297 0.255
Th 0.976 0.097 0.749
Th 0.024 0.903 0.251


Entry 21:
Material: La6NiPt2
Method: DFT, GGA-PBE
State: relaxed

Values from the calculation:
spin magnetization = 0.0 μB per cell
ΔH_f (0 K) = -0.62 eV/atom
symmetry = P2_1/c

Unit cell a=6.910 b=7.507 c=10.621 alpha=90.00 beta=85.72 gamma=90.00
Positions (direct):
La 0.156 0.044 0.245
La 0.173 0.325 0.576
La 0.180 0.318 0.934
La 0.320 0.818 0.566
La 0.327 0.825 0.924
La 0.344 0.544 0.255
La 0.844 0.956 0.755
La 0.827 0.675 0.424
La 0.820 0.682 0.066
La 0.680 0.182 0.434
La 0.673 0.175 0.076
La 0.656 0.456 0.745
Ni 0.500 0.500 0.000
Ni 0.000 0.000 0.500
Pt 0.054 0.615 0.775
Pt 0.446 0.115 0.725
Pt 0.554 0.885 0.275
Pt 0.946 0.385 0.225